This record from the Alexandria database describes an optimized crystal structure of K2TlVF8. The functional is GGA+U.

Cell lengths 5.1933, 5.1933, 9.0471 Å; angles 90.00, 90.00, 120.00 degrees
Closest atoms and distances in Å follow each position.
Sites, in units of the cell vectors:
K (0.3333, 0.6667, 0.2824)  1 F 2.54
K (0.6667, 0.3333, 0.7176)  1 F 2.54
Tl (0.0000, 0.0000, 0.5000)  6 F 3.05
V (0.0000, 0.0000, 0.0000)  6 F 1.81
F (0.1617, 0.3233, 0.8809)  1 V 1.81
F (0.1617, 0.8383, 0.8809)  1 V 1.81
F (0.3233, 0.1617, 0.1191)  1 V 1.81
F (0.3333, 0.6667, 0.5637)  1 K 2.54
F (0.6667, 0.3333, 0.4363)  1 K 2.54
F (0.6767, 0.8383, 0.8809)  1 V 1.81
F (0.8383, 0.1617, 0.1191)  1 V 1.81
F (0.8383, 0.6767, 0.1191)  1 V 1.81

Properties
As for the space group: P-3m1 (164). The calculation puts the energy at -4.651 eV per atom.